Record 1
Material: Li2SeBr
Method: DFT, PBE
State: optimized geometry

```
data_Li2SeBr
_cell_length_a 14.3591
_cell_length_b 3.1191
_cell_length_c 4.1568
_cell_angle_alpha 90.00
_cell_angle_beta 90.10
_cell_angle_gamma 90.00
_space_group_name_H-M_alt 'C 1 m 1'
_space_group_IT_number 8
loop_
_space_group_symop_operation_xyz
'x,y,z'
'x,-y,z'
'x+1/2,y+1/2,z'
'x+1/2,-y+1/2,z'
loop_
_atom_site_label
_atom_site_type_symbol
_atom_site_fract_x
_atom_site_fract_y
_atom_site_fract_z
_atom_site_occupancy
Li1 Li 0.0000 0.0000 0.0000 1
Li2 Li 0.1446 0.5000 0.5012 1
Se1 Se 0.1828 0.0000 0.0014 1
Br1 Br 0.4595 0.0000 0.4997 1
```

Results
Polymorph energy (0 for the lowest one) (eV per atom): 0.0440

=====

Record 2
Material: LiSeBr2
Method: DFT, PBE
State: optimized geometry

```
data_LiSeBr2
_cell_length_a 4.1730
_cell_length_b 4.1730
_cell_length_c 22.7878
_cell_angle_alpha 90.00
_cell_angle_beta 90.00
_cell_angle_gamma 120.00
_space_group_name_H-M_alt 'R 3 m'
_space_group_IT_number 160
_space_group_name_Hall 'R 3 -2"'
loop_
_atom_site_label
_atom_site_type_symbol
_atom_site_fract_x
_atom_site_fract_y
_atom_site_fract_z
_atom_site_occupancy
Li1 Li 0.0000 0.0000 0.0000 1
Se1 Se 0.0000 0.0000 0.8227 1
Br1 Br 0.0000 0.0000 0.3737 1
Br2 Br 0.0000 0.0000 0.5716 1
```

Results
Polymorph energy (0 for the lowest one) (eV per atom): 0.3031

=====

Record 3
Material: Li2SeBr
Method: DFT, PBE
State: optimized geometry

```
data_Li2SeBr
_cell_length_a 6.8111
_cell_length_b 6.8111
_cell_length_c 6.8111
_cell_angle_alpha 90.00
_cell_angle_beta 90.00
_cell_angle_gamma 90.00
_space_group_name_H-M_alt 'F m -3 m'
_space_group_IT_number 225
_space_group_name_Hall '-F 4 2 3'
loop_
_atom_site_label
_atom_site_type_symbol
_atom_site_fract_x
_atom_site_fract_y
_atom_site_fract_z
_atom_site_occupancy
Li1 Li 0.2500 0.2500 0.2500 1
Se1 Se 0.0000 0.0000 0.0000 1
Br1 Br 0.0000 0.0000 0.5000 1
```

Results
Polymorph energy (0 for the lowest one) (eV per atom): 0.2549

=====

Record 4
Material: LiSe2Br
Method: DFT, PBE
State: optimized geometry

```
data_LiSe2Br
_cell_length_a 3.7264
_cell_length_b 3.7264
_cell_length_c 8.8887
_cell_angle_alpha 90.00
_cell_angle_beta 90.00
_cell_angle_gamma 90.00
_space_group_name_H-M_alt 'P 4/m m m'
_space_group_IT_number 123
_space_group_name_Hall '-P 4 2'
loop_
_atom_site_label
_atom_site_type_symbol
_atom_site_fract_x
_atom_site_fract_y
_atom_site_fract_z
_atom_site_occupancy
Li1 Li 0.0000 0.0000 0.0000 1
Se1 Se 0.0000 0.5000 0.5000 1
Br1 Br 0.5000 0.5000 0.0000 1
```

Results
Polymorph energy (0 for the lowest one) (eV per atom): 0.0392

=====

Record 5
Material: Li2SeBr
Method: DFT, PBE
State: optimized geometry

```
data_Li2SeBr
_cell_length_a 4.0907
_cell_length_b 4.0907
_cell_length_c 17.4734
_cell_angle_alpha 90.00
_cell_angle_beta 90.00
_cell_angle_gamma 120.00
_space_group_name_H-M_alt 'R 3 m'
_space_group_IT_number 160
_space_group_name_Hall 'R 3 -2"'
loop_
_atom_site_label
_atom_site_type_symbol
_atom_site_fract_x
_atom_site_fract_y
_atom_site_fract_z
_atom_site_occupancy
Li1 Li 0.0000 0.0000 0.0000 1
Li2 Li 0.0000 0.0000 0.2029 1
Se1 Se 0.0000 0.0000 0.6017 1
Br1 Br 0.0000 0.0000 0.7727 1
```

Results
Polymorph energy (0 for the lowest one) (eV per atom): 0.1060

=====

Record 6
Material: Li2SeBr
Method: DFT, PBE
State: optimized geometry

```
data_Li2SeBr
_cell_length_a 4.2622
_cell_length_b 6.1244
_cell_length_c 6.8525
_cell_angle_alpha 90.00
_cell_angle_beta 90.00
_cell_angle_gamma 90.00
_space_group_name_H-M_alt 'I m m m'
_space_group_IT_number 71
_space_group_name_Hall '-I 2 2'
loop_
_atom_site_label
_atom_site_type_symbol
_atom_site_fract_x
_atom_site_fract_y
_atom_site_fract_z
_atom_site_occupancy
Li1 Li 0.0000 0.2344 0.0000 1
Se1 Se 0.0000 0.5000 0.5000 1
Br1 Br 0.0000 0.0000 0.5000 1
```

Results
Polymorph energy (0 for the lowest one) (eV per atom): 0.1659

=====

Record 7
Material: Li2SeBr
Method: DFT, PBE
State: optimized geometry

```
data_Li2SeBr
_cell_length_a 3.3010
_cell_length_b 3.3010
_cell_length_c 7.2406
_cell_angle_alpha 90.00
_cell_angle_beta 90.00
_cell_angle_gamma 90.00
_space_group_name_H-M_alt 'P 4/m m m'
_space_group_IT_number 123
_space_group_name_Hall '-P 4 2'
loop_
_atom_site_label
_atom_site_type_symbol
_atom_site_fract_x
_atom_site_fract_y
_atom_site_fract_z
_atom_site_occupancy
Li1 Li 0.0000 0.0000 0.2382 1
Se1 Se 0.5000 0.5000 0.5000 1
Br1 Br 0.5000 0.5000 0.0000 1
```

Results
Polymorph energy (0 for the lowest one) (eV per atom): 0.1269

=====

Record 8
Material: LiSeBr2
Method: DFT, PBE
State: optimized geometry

```
data_LiSeBr2
_cell_length_a 5.1699
_cell_length_b 4.2926
_cell_length_c 5.2188
_cell_angle_alpha 90.00
_cell_angle_beta 93.81
_cell_angle_gamma 90.00
_space_group_name_H-M_alt 'P 1 2/m 1'
_space_group_IT_number 10
loop_
_space_group_symop_operation_xyz
'x,y,z'
'-x,-y,-z'
'-x,y,-z'
'x,-y,z'
loop_
_atom_site_label
_atom_site_type_symbol
_atom_site_fract_x
_atom_site_fract_y
_atom_site_fract_z
_atom_site_occupancy
Li1 Li 0.0000 0.0000 0.0000 1
Se1 Se 0.5000 0.0000 0.5000 1
Br1 Br 0.2512 0.5000 0.2512 1
```

Results
Polymorph energy (0 for the lowest one) (eV per atom): 0.2498

=====

These records have formation energy from raw total energies values of -1010, -272, -799, -599, -948, -888, -927, -325 meV/atom, in the order they appear.